Compound: Li5Mn4O8
Source: the Alexandria database
Functional: PBE with a Hubbard U
Structure: relaxed

Uncorrected energy   -0.2337 Ha/atom
Calculated volume   9.5 A^3/atom
Fermi-level density of states   0.06 states/eV/atom
Space group   P-1 (2)
Theoretical density   3.9 g/cm³

```
34
Lattice="5.8280 0.0000 0.0000 2.9121 5.5703 0.0000 2.8738 0.5658 9.9581" Properties=species:S:1:pos:R:3 pbc="T T T"
Li 0.0000 0.0000 0.0000
Li 2.9680 0.6850 7.9130
Li 4.4702 2.1295 7.1964
Li 5.7885 4.1298 7.5359
Li 4.5655 4.1431 2.6473
Li 5.8070 3.0681 4.9791
Li 7.0485 1.9930 7.3109
Li 5.8254 2.0063 2.4222
Li 7.1437 4.0066 2.7617
Li 8.6460 5.4511 2.0452
Mn 1.4369 0.2829 4.9791
Mn 1.4561 2.7852 0.0000
Mn 2.8930 3.0681 4.9791
Mn 2.9048 1.5218 2.5206
Mn 2.9140 0.0000 0.0000
Mn 4.3509 0.2829 4.9791
Mn 4.3701 2.7852 0.0000
Mn 8.7092 4.6143 7.4376
O 4.2427 3.8379 6.2128
O 1.4706 0.8430 1.3812
O 2.8757 3.6518 1.1017
O 3.0070 1.1256 6.1314
O 4.2550 2.3741 3.7038
O 5.7596 2.5962 8.8234
O 5.9085 5.1461 3.7568
O 7.2623 5.0540 8.7270
O 4.3516 1.0821 1.2311
O 5.7054 0.9900 6.2013
O 5.8543 3.5399 1.1347
O 7.3589 3.7620 6.2543
O 8.6069 5.0105 3.8267
O 8.7382 2.4843 8.8565
O 10.1434 5.2932 8.5770
O 7.3713 2.2982 3.7453
```